LaOsN3 | the Alexandria database | meta-GGA SCAN | PBEsol geometry; uncorrected formation energy = -0.5122 eV/atom; crystal system = monoclinic; DOS(E_F) = 0.593 states/eV/f.u.; V = 16.22 Å³ per atom; density = 7.60 Mg/m³; total magnetization = 0.00 μB per formula unit
1.0
4.742 0.012 0.000
-2.254 6.746 0.000
0.000 0.000 10.135
N La Os
12 4 4
Direct
0.386 0.902 0.384
0.701 0.407 0.413
0.299 0.093 0.913
0.614 0.098 0.616
0.027 0.162 0.351
0.701 0.907 0.087
0.973 0.338 0.851
0.973 0.838 0.649
0.027 0.662 0.149
0.386 0.402 0.116
0.614 0.598 0.884
0.299 0.593 0.587
0.251 0.524 0.335
0.749 0.976 0.835
0.251 0.024 0.165
0.749 0.476 0.665
0.692 0.150 0.430
0.308 0.350 0.930
0.308 0.850 0.570
0.692 0.650 0.070